(1)
## Rb2DyHoO4 (PBE)

Data for a geometry-optimized Rb2DyHoO4 structure.

The structure belongs to space group P2/m (No. 10); the cell edges are 6.066, 3.502 and 6.864 Å and the angles 90.00°, 107.14° and 90.00°. The distinct sites, in fractional coordinates, are Rb at (0.000, 0.000, 0.000), Rb at (0.500, 0.500, 0.000), Dy at (0.000, 0.500, 0.500), Ho at (0.500, 0.000, 0.500), O at (0.226, 0.000, 0.675) and O at (0.276, 0.500, 0.325).

Its total magnetization is 0.00 μB/f.u. The density of states at the Fermi level comes out at 0.00 states/eV per atom. The energy relative to the elements, uncorrected is -2704 meV per atom. Its total energy is -52.6 eV per formula unit.

***

(2)
## TbPm2Ga (PBE)

Data for a geometry-optimized TbPm2Ga structure.

The structure belongs to space group Fm-3m (No. 225); the cell edges are 7.653, 7.653 and 7.653 Å and the angles 90.00°, 90.00° and 90.00°. The distinct sites, in fractional coordinates, are Tb at (0.000, 0.000, 0.000), Pm at (0.250, 0.250, 0.250) and Ga at (0.000, 0.000, 0.500).

Its total magnetization is 0.21 μB/f.u. The density of states at the Fermi level comes out at 1.89 states/eV per atom. Its total energy is -17.5 eV per formula unit. As for the energy of formation: -0.0872 eV per atom.

***

(3)
## TbSc2V (PBE)

Data for a geometry-optimized TbSc2V structure.

The structure belongs to space group R-3m (No. 166, hexagonal axes); the cell edges are 3.1911, 3.1911 and 32.4810 Å and the angles 90.00°, 90.00° and 120.00°. The distinct sites, in fractional coordinates, are Tb at (0.0000, 0.0000, 0.0000), Sc at (0.0000, 0.0000, 0.4196) and V at (0.0000, 0.0000, 0.5000).

Its total magnetization is 2.50 μB/f.u. The density of states at the Fermi level comes out at 1.48 states/eV per atom. Its total energy is -24.2 eV per formula unit. As for the energy of formation: 0.5487 eV per atom.

***

(4)
## ReS (PBE)

Data for a geometry-optimized ReS structure.

The structure belongs to space group Fm-3m (No. 225); the cell edges are 4.931, 4.931 and 4.931 Å and the angles 90.00°, 90.00° and 90.00°. The distinct sites, in fractional coordinates, are Re at (0.000, 0.000, 0.000) and S at (0.000, 0.000, 0.500).

Its total magnetization is 0.00 μB/f.u. The density of states at the Fermi level comes out at 0.94 states/eV per atom. The energy relative to the elements, uncorrected is 990 meV per atom. Its total energy is -14.6 eV per formula unit.

***

(5)
## Dy4Sb2N (PBE)

Data for a geometry-optimized Dy4Sb2N structure.

The structure belongs to space group I4/mmm (No. 139); the cell edges are 4.627, 4.627 and 16.117 Å and the angles 90.00°, 90.00° and 90.00°. The distinct sites, in fractional coordinates, are Dy at (0.000, 0.000, 0.164), Dy at (0.000, 0.500, 0.000), Sb at (0.000, 0.000, 0.357) and N at (0.000, 0.000, 0.000).

Its total magnetization is 0.00 μB/f.u. The density of states at the Fermi level comes out at 0.92 states/eV per atom. The energy relative to the elements, uncorrected is -1087 meV per atom. Its total energy is -42.6 eV per formula unit.

***

(6)
## Ac3Ga2CuO9 (PBE)

Data for a geometry-optimized Ac3Ga2CuO9 structure.

The structure belongs to space group P-3m1 (No. 164); the cell edges are 5.6137, 5.6137 and 6.8973 Å and the angles 90.00°, 90.00° and 120.00°. The distinct sites, in fractional coordinates, are Ac at (0.0000, 0.0000, 0.0000), Ac at (0.3333, 0.6667, 0.6589), Ga at (0.3333, 0.6667, 0.1621), Cu at (0.0000, 0.0000, 0.5000), O at (0.0000, 0.5000, 0.0000) and O at (0.1685, 0.3370, 0.3338).

Its total magnetization is 0.00 μB/f.u. The density of states at the Fermi level comes out at 0.21 states/eV per atom. The energy relative to the elements, uncorrected is -2391 meV per atom. Its total energy is -103.0 eV per formula unit.